[1]
## Nd2Pd4Pt3 (GGA-PBE)

Data for a geometry-optimized Nd2Pd4Pt3 structure.

```
data_Nd2Pd4Pt3
_chemical_formula_sum 'Nd8 Pd16 Pt12'
_symmetry_space_group_name_H-M 'F m m m'
_symmetry_Int_Tables_number 69
_symmetry_space_group_name_Hall '-F 2 2'
_cell_length_a 5.277
_cell_length_b 9.365
_cell_length_c 13.755
_cell_angle_alpha 90.00
_cell_angle_beta 90.00
_cell_angle_gamma 90.00
loop_
_atom_site_label
_atom_site_type_symbol
_atom_site_fract_x
_atom_site_fract_y
_atom_site_fract_z
Nd1 Nd 0.000 0.000 0.135
Pd1 Pd 0.000 0.164 0.328
Pt1 Pt 0.000 0.000 0.500
Pt2 Pt 0.250 0.250 0.000
```


[2]
# GGA-PBE Tb3Nd3Ho, optimized geometry
# relative energy among the computed polymorphs: 221 meV/atom
data_Tb3Nd3Ho
_chemical_formula_sum 'Tb18 Nd18 Ho6'
_symmetry_space_group_name_H-M 'R -3'
_symmetry_Int_Tables_number 148
_symmetry_space_group_name_Hall '-R 3'
_cell_length_a 8.7257
_cell_length_b 8.7257
_cell_length_c 21.9106
_cell_angle_alpha 90.00
_cell_angle_beta 90.00
_cell_angle_gamma 120.00
loop_
_atom_site_label
_atom_site_type_symbol
_atom_site_fract_x
_atom_site_fract_y
_atom_site_fract_z
Tb1 Tb 0.0551 0.6050 0.3806
Nd1 Nd 0.0041 0.7638 0.5590
Ho1 Ho 0.0000 0.0000 0.1518


| no. | DFT formation energy (kJ per mole of atoms) |
| --- | --- |
| 1 | -73 |
| 2 | 23 |